No. 1
Compound: TcRhCl3
Source: Alexandria via LeMat-Bulk
Functional: meta-GGA SCAN
Structure: single point on PBEsol structure

The structure in POSCAR format:
```
TcRhCl3
1.0
4.6936 0.0000 0.0000
0.0000 4.6936 0.0000
0.0000 0.0000 4.6936
Tc Rh Cl
1 1 3
Cartesian
0.0000 0.0000 0.0000
2.3468 2.3468 2.3468
0.0000 0.0000 2.3468
0.0000 2.3468 0.0000
2.3468 0.0000 0.0000
```

Properties
Energy relative to the elements, uncorrected, eV/atom: 0.422
Offset from the most stable computed form, eV per atom: 0.131
SG: Pm-3m (221)
Total magnetic moment, μB per atom: 0.868
Calculated density, g cm⁻³: 4.93
Raw total energy, Ry/atom: -1.33258

---

No. 2
Compound: TeRh2Cl
Source: Alexandria via LeMat-Bulk
Functional: meta-GGA SCAN
Structure: single point on PBEsol structure

The structure in POSCAR format:
```
TeRh2Cl
1.0
3.5824 0.0000 0.0000
0.0000 1.5238 7.0174
0.0000 -1.5238 7.0174
Te Rh Cl
1 2 1
Cartesian
0.0000 0.0000 0.0000
0.0000 0.0000 11.3499
1.7912 0.0000 5.7300
1.7912 0.0000 9.8819
```

Properties
Energy relative to the elements, uncorrected, eV/atom: -0.186
SG: Amm2 (38)
Total magnetic moment, μB per atom: 0.001
Calculated density, g cm⁻³: 7.99
Raw total energy, Ry/atom: -2.08579

---

No. 3
Compound: TeRhCl
Source: Alexandria via LeMat-Bulk
Functional: meta-GGA SCAN
Structure: single point on PBEsol structure

The structure in POSCAR format:
```
TeRhCl
1.0
6.3276 -1.8309 0.0000
6.3276 1.8309 0.0000
-3.2474 0.0000 5.8142
Te Rh Cl
2 2 2
Cartesian
0.1559 0.0000 2.7046
9.2520 0.0000 3.1095
2.3820 0.0000 1.4244
7.0259 0.0000 4.3897
4.5444 0.0000 0.1987
4.8634 0.0000 5.6155
```

Properties
Energy relative to the elements, uncorrected, eV/atom: -0.686
SG: C2/m (12)
Total magnetic moment, μB per atom: 0.000
Calculated density, g cm⁻³: 6.56
Raw total energy, Ry/atom: -1.98590

---

No. 4
Compound: Te6RhCl3
Source: Alexandria via LeMat-Bulk
Functional: meta-GGA SCAN
Structure: single point on PBEsol structure

The structure in POSCAR format:
```
Te6RhCl3
1.0
7.1338 4.1187 3.2332
-7.1338 4.1187 3.2332
0.0000 -8.2374 3.2332
Te Rh Cl
12 2 6
Cartesian
-5.3080 -2.9098 5.5369
-0.1341 -6.0517 4.1628
-5.1739 3.1420 4.1628
-0.1341 -2.1857 3.9203
-1.8259 1.2090 3.9203
-1.9599 -0.9768 5.7794
1.9599 0.9768 3.9203
1.8258 -1.2089 5.7794
0.1341 2.1857 5.7794
5.1739 -3.1420 5.5369
0.1341 6.0517 5.5369
5.3080 2.9098 4.1628
0.0000 0.0000 2.4249
0.0000 0.0000 7.2747
-3.3054 -4.1187 4.0415
-5.2196 0.8032 5.6581
-1.9142 4.9219 4.0415
1.9142 -4.9219 5.6581
5.2196 -0.8032 4.0415
3.3054 4.1187 5.6581
```

Properties
Energy relative to the elements, uncorrected, eV/atom: -0.450
SG: R-3c (167)
Total magnetic moment, μB per atom: 0.000
Calculated density, g cm⁻³: 5.68
Raw total energy, Ry/atom: -2.09996

---

No. 5
Compound: Te2RhCl
Source: Alexandria via LeMat-Bulk
Functional: meta-GGA SCAN
Structure: single point on PBEsol structure

The structure in POSCAR format:
```
Te2RhCl
1.0
-1.7531 2.3869 5.6389
1.7531 -2.3869 5.6389
1.7531 2.3869 -5.6389
Te Rh Cl
2 1 1
Cartesian
0.0000 0.0000 0.0000
0.0000 2.3869 1.7170
1.7531 0.0000 1.8315
0.0000 0.0000 3.7907
```

Properties
Energy relative to the elements, uncorrected, eV/atom: -0.255
SG: Imm2 (44)
Total magnetic moment, μB per atom: 0.000
Calculated density, g cm⁻³: 6.92
Raw total energy, Ry/atom: -2.15483

---

No. 6
Compound: TeRhCl
Source: Alexandria via LeMat-Bulk
Functional: meta-GGA SCAN
Structure: single point on PBEsol structure

The structure in POSCAR format:
```
TeRhCl
1.0
3.6660 0.0000 0.0000
-1.8330 3.1749 0.0000
0.0000 0.0000 5.8484
Te Rh Cl
1 1 1
Cartesian
0.0000 0.0000 0.0000
1.8330 1.0583 1.4046
0.0000 2.1166 2.8137
```

Properties
Energy relative to the elements, uncorrected, eV/atom: -0.688
SG: P3m1 (156)
Total magnetic moment, μB per atom: 0.000
Calculated density, g cm⁻³: 6.49
Raw total energy, Ry/atom: -1.98603